# RbAl2Sn2 (PBE, relaxed)
data_RbAl2Sn2
_cell_length_a 3.937
_cell_length_b 3.937
_cell_length_c 9.640
_cell_angle_alpha 90.00
_cell_angle_beta 90.00
_cell_angle_gamma 90.00
_symmetry_space_group_name_H-M 'P 4/m m m'
_symmetry_Int_Tables_number 123
_symmetry_space_group_name_Hall '-P 4 2'
loop_
_atom_site_label
_atom_site_fract_x
_atom_site_fract_y
_atom_site_fract_z
Rb1 0.000 0.000 0.000
Al1 0.000 0.500 0.500
Sn1 0.500 0.500 0.280
# ΔH_f (0 K)   1.01 kJ/mol of atoms
# DOS at the Fermi energy   0.47 states/eV/atom
# E above lowest polymorph   67 meV per atom
# Calculated volume   149.4 Å³/cell

=====

# RbLaO2 (PBE, relaxed)
data_RbLaO2
_cell_length_a 6.385
_cell_length_b 6.385
_cell_length_c 9.957
_cell_angle_alpha 90.00
_cell_angle_beta 90.00
_cell_angle_gamma 90.00
_symmetry_space_group_name_H-M 'I -4 2 d'
_symmetry_Int_Tables_number 122
_symmetry_space_group_name_Hall 'I -4 2bw'
loop_
_atom_site_label
_atom_site_fract_x
_atom_site_fract_y
_atom_site_fract_z
Rb1 0.000 0.000 0.000
La1 0.000 0.000 0.500
O1 0.168 0.250 0.625
# DOS at the Fermi energy   0.00 states/eV/atom
# Energy relative to the elements, uncorrected   -2.525 eV per atom
# Calculated volume   405.9 Å³/cell

=====

# CaIn2Co (PBE, relaxed)
data_CaIn2Co
_cell_length_a 3.444
_cell_length_b 3.444
_cell_length_c 7.539
_cell_angle_alpha 90.00
_cell_angle_beta 90.00
_cell_angle_gamma 90.00
_symmetry_space_group_name_H-M 'P 4 m m'
_symmetry_Int_Tables_number 99
loop_
_symmetry_equiv_pos_as_xyz
'x,y,z'
'-y,x,z'
'-x,-y,z'
'y,-x,z'
'-x,y,z'
'y,x,z'
'x,-y,z'
'-y,-x,z'
loop_
_atom_site_label
_atom_site_fract_x
_atom_site_fract_y
_atom_site_fract_z
Ca1 0.000 0.000 0.000
In1 0.000 0.000 0.407
In2 0.500 0.500 0.682
Co1 0.500 0.500 0.269
# ΔH_f (0 K)   3.74 kJ/mol of atoms
# DOS at the Fermi energy   0.71 states/eV/atom
# Calculated volume   89.4 Å³/cell

=====

# OsRh3 (PBE, relaxed)
data_OsRh3
_cell_length_a 4.375
_cell_length_b 5.456
_cell_length_c 4.752
_cell_angle_alpha 90.00
_cell_angle_beta 90.00
_cell_angle_gamma 90.00
_symmetry_space_group_name_H-M 'P m m n'
_symmetry_Int_Tables_number 59
loop_
_symmetry_equiv_pos_as_xyz
'x,y,z'
'-x,-y,-z'
'-x+1/2,-y+1/2,z'
'x+1/2,y+1/2,-z'
'x+1/2,-y,-z'
'-x+1/2,y,z'
'-x,y+1/2,-z'
'x,-y+1/2,z'
loop_
_atom_site_label
_atom_site_fract_x
_atom_site_fract_y
_atom_site_fract_z
Os1 0.250 0.250 0.171
Rh1 0.250 0.001 0.665
Rh2 0.250 0.750 0.155
# ΔH_f (0 K)   5.28 kJ/mol of atoms
# DOS at the Fermi energy   1.03 states/eV/atom
# Calculated volume   113.4 Å³/cell

=====

Which value of calculated volume does entry 4 give?
113.4 Å³/cell

=====

The lowest DOS at the Fermi energy belongs to which entry?
RbLaO2